(1)
Here is a PBEsol-optimized structure of MgAlMo2 from Alexandria via LeMat-Bulk. Energies are from SCAN.

a = 3.3446 Å, b = 4.2203 Å, c = 4.4298 Å
α = 90.00°, β = 90.00°, γ = 90.00°
Space group Pmmm (No. 47)
Symmetry-distinct sites (fractional):
Mg  0.0000  0.0000  0.0000
Al  0.5000  0.5000  0.0000
Mo  0.0000  0.5000  0.5000
Mo  0.5000  0.0000  0.5000

Output
**DFT total energy**: -20.528 eV per atom
**Energy of formation from the pure elements**: 96 meV/atom

(2)
Here is a PBEsol-optimized structure of ZrMoIr4 from Alexandria via LeMat-Bulk. Energies are from SCAN.

a = 7.2495 Å, b = 7.2495 Å, c = 7.2495 Å
α = 90.00°, β = 90.00°, γ = 90.00°
Space group F-43m (No. 216)
Symmetry-distinct sites (fractional):
Zr  0.0000  0.0000  0.0000
Mo  0.2500  0.2500  0.7500
Ir  0.1247  0.1247  0.3753

Output
**DFT total energy**: -58.635 eV per atom
**Energy of formation from the pure elements**: -305 meV/atom

(3)
Here is a PBEsol-optimized structure of NaIn2Pt2 from Alexandria via LeMat-Bulk. Energies are from SCAN.

a = 8.0155 Å, b = 8.0155 Å, c = 2.9345 Å
α = 90.00°, β = 90.00°, γ = 90.00°
Space group P4/mbm (No. 127)
Symmetry-distinct sites (fractional):
Na  0.0000  0.0000  0.0000
In  0.1547  0.3453  0.5000
Pt  0.1422  0.6422  0.0000

Output
**ΔE to the lowest computed polymorph**: 0.000 eV/atom
**DFT total energy**: -42.826 eV per atom
**Energy of formation from the pure elements**: -552 meV/atom

(4)
Here is a PBEsol-optimized structure of Hg3Ir from Alexandria via LeMat-Bulk. Energies are from SCAN.

a = 3.0034 Å, b = 3.0034 Å, c = 8.5981 Å
α = 90.00°, β = 90.00°, γ = 90.00°
Space group P4/mmm (No. 123)
Symmetry-distinct sites (fractional):
Hg  0.0000  0.0000  0.0000
Hg  0.5000  0.5000  0.2838
Ir  0.0000  0.0000  0.5000

Output
**ΔE to the lowest computed polymorph**: 0.073 eV/atom
**DFT total energy**: -68.403 eV per atom
**Energy of formation from the pure elements**: 496 meV/atom

(5)
Here is a PBEsol-optimized structure of ReHg2Rh from Alexandria via LeMat-Bulk. Energies are from SCAN.

a = 4.0896 Å, b = 4.0896 Å, c = 4.0107 Å
α = 90.00°, β = 90.00°, γ = 90.00°
Space group P4/mmm (No. 123)
Symmetry-distinct sites (fractional):
Re  0.0000  0.0000  0.0000
Hg  0.0000  0.5000  0.5000
Rh  0.5000  0.5000  0.0000

Output
**ΔE to the lowest computed polymorph**: 0.056 eV/atom
**DFT total energy**: -59.450 eV per atom
**Energy of formation from the pure elements**: 850 meV/atom

(6)
Here is a PBEsol-optimized structure of SmB2Rh3 from Alexandria via LeMat-Bulk. Energies are from SCAN.

a = 5.4021 Å, b = 5.4021 Å, c = 3.0833 Å
α = 90.00°, β = 90.00°, γ = 120.00°
Space group P6/mmm (No. 191)
Symmetry-distinct sites (fractional):
Sm  0.0000  0.0000  0.0000
B  0.3333  0.6667  0.0000
Rh  0.0000  0.5000  0.5000

Output
**DFT total energy**: -27.576 eV per atom
**Energy of formation from the pure elements**: -806 meV/atom

(7)
Here is a PBEsol-optimized structure of TaAsOs2 from Alexandria via LeMat-Bulk. Energies are from SCAN.

a = 2.8925 Å, b = 2.8925 Å, c = 25.2391 Å
α = 90.00°, β = 90.00°, γ = 120.00°
Space group R-3m (No. 166, hexagonal axes)
Symmetry-distinct sites (fractional):
Ta  0.0000  0.0000  0.0000
As  0.0000  0.0000  0.5000
Os  0.0000  0.0000  0.2477

Output
**DFT total energy**: -57.510 eV per atom
**Energy of formation from the pure elements**: 123 meV/atom

(8)
Here is a PBEsol-optimized structure of PWSe2 from Alexandria via LeMat-Bulk. Energies are from SCAN.

a = 3.6539 Å, b = 3.6539 Å, c = 5.0832 Å
α = 90.00°, β = 90.00°, γ = 90.00°
Space group P4/mmm (No. 123)
Symmetry-distinct sites (fractional):
P  0.0000  0.0000  0.0000
W  0.5000  0.5000  0.0000
Se  0.0000  0.5000  0.5000

Output
**Uncorrected formation energy**: 1132 meV/atom
**DFT total energy**: -28.929 eV per atom

(9)
Here is a PBEsol-optimized structure of ZrCrRu from Alexandria via LeMat-Bulk. Energies are from SCAN.

a = 2.7668 Å, b = 2.7668 Å, c = 6.8568 Å
α = 90.00°, β = 90.00°, γ = 120.00°
Space group P3m1 (No. 156)
Symmetry-distinct sites (fractional):
Zr  0.0000  0.0000  0.0000
Cr  0.3333  0.6667  0.6395
Ru  0.6667  0.3333  0.3663

Output
**ΔE to the lowest computed polymorph**: 0.168 eV/atom
**DFT total energy**: -27.607 eV per atom
**Energy of formation from the pure elements**: 363 meV/atom

(10)
Here is a PBEsol-optimized structure of Ba2LaSi from Alexandria via LeMat-Bulk. Energies are from SCAN.

a = 4.2130 Å, b = 5.7167 Å, c = 12.4851 Å
α = 90.00°, β = 90.00°, γ = 90.00°
Space group Imm2 (No. 44)
Symmetry-distinct sites (fractional):
Ba  0.0000  0.0000  0.0000
Ba  0.0000  0.5000  0.1917
La  0.0000  0.5000  0.8138
Si  0.0000  0.0000  0.4782

Output
**Uncorrected formation energy**: -142 meV/atom
**DFT total energy**: -33.198 eV per atom

(11)
Here is a PBEsol-optimized structure of Al7Tl3S12 from Alexandria via LeMat-Bulk. Energies are from SCAN.

a = 9.0244 Å, b = 12.2785 Å, c = 9.4986 Å
α = 90.00°, β = 95.91°, γ = 90.00°
Space group P2_1 (No. 4)
Symmetry-distinct sites (fractional):
Al  0.0179  0.0000  0.2957
Al  0.0328  0.7456  0.4710
Al  0.2868  0.2286  0.3020
Al  0.3057  0.3334  0.6772
Al  0.3335  0.6336  0.6752
Al  0.3687  0.9733  0.1382
Al  0.4802  0.2271  0.0169
Tl  0.0401  0.7109  0.0248
Tl  0.1203  0.4892  0.2668
Tl  0.3780  0.9880  0.6650
S  0.0425  0.1856  0.3180
S  0.0724  0.9247  0.5074
S  0.1206  0.9543  0.0997
S  0.1406  0.2016  0.7065
S  0.2292  0.4886  0.7809
S  0.2508  0.6652  0.4496
S  0.2665  0.2935  0.0825
S  0.3275  0.7744  0.8233
S  0.3555  0.3627  0.4529
S  0.4247  0.0733  0.3439
S  0.4670  0.8026  0.1952
S  0.4792  0.0494  0.9657

Output
**Uncorrected formation energy**: -1150 meV/atom
**DFT total energy**: -18.735 eV per atom

(12)
Here is a PBEsol-optimized structure of YHf3Au from Alexandria via LeMat-Bulk. Energies are from SCAN.

a = 5.1104 Å, b = 5.1104 Å, c = 5.1104 Å
α = 90.00°, β = 90.00°, γ = 90.00°
Space group Pm-3m (No. 221)
Symmetry-distinct sites (fractional):
Y  0.0000  0.0000  0.0000
Hf  0.0000  0.5000  0.5000
Au  0.5000  0.5000  0.5000

Output
**DFT total energy**: -56.640 eV per atom
**Energy of formation from the pure elements**: 364 meV/atom

(13)
Here is a PBEsol-optimized structure of KGeSeS2 from Alexandria via LeMat-Bulk. Energies are from SCAN.

a = 4.8139 Å, b = 4.8139 Å, c = 5.0312 Å
α = 90.00°, β = 90.00°, γ = 90.00°
Space group P4/mmm (No. 123)
Symmetry-distinct sites (fractional):
K  0.0000  0.0000  0.0000
Ge  0.5000  0.5000  0.5000
Se  0.5000  0.5000  0.0000
S  0.0000  0.5000  0.5000

Output
**Uncorrected formation energy**: -242 meV/atom
**DFT total energy**: -13.592 eV per atom

(14)
Here is a PBEsol-optimized structure of LiCrFeO4 from Alexandria via LeMat-Bulk. Energies are from SCAN.

a = 5.7761 Å, b = 5.7761 Å, c = 8.1260 Å
α = 90.00°, β = 90.00°, γ = 90.00°
Space group P4_322 (No. 95)
Symmetry-distinct sites (fractional):
Li  0.0000  0.2364  0.0000
Cr  0.2341  0.5000  0.2500
Fe  0.2555  0.2555  0.6250
O  0.0160  0.2685  0.2584
O  0.2676  0.4845  0.0160

Output
**Uncorrected formation energy**: -2034 meV/atom
**ΔE to the lowest computed polymorph**: 0.058 eV/atom
**DFT total energy**: -11.152 eV per atom

(15)
Here is a PBEsol-optimized structure of SiHgPS2 from Alexandria via LeMat-Bulk. Energies are from SCAN.

a = 4.8802 Å, b = 4.8802 Å, c = 4.8512 Å
α = 90.00°, β = 90.00°, γ = 90.00°
Space group P4/mmm (No. 123)
Symmetry-distinct sites (fractional):
Si  0.0000  0.0000  0.0000
Hg  0.5000  0.5000  0.5000
P  0.5000  0.5000  0.0000
S  0.0000  0.5000  0.5000

Output
**Uncorrected formation energy**: 1333 meV/atom
**DFT total energy**: -20.235 eV per atom

(16)
Here is a PBEsol-optimized structure of NiRh2Au from Alexandria via LeMat-Bulk. Energies are from SCAN.

a = 2.7066 Å, b = 2.7066 Å, c = 26.0580 Å
α = 90.00°, β = 90.00°, γ = 120.00°
Space group R-3m (No. 166, hexagonal axes)
Symmetry-distinct sites (fractional):
Ni  0.0000  0.0000  0.0000
Rh  0.0000  0.0000  0.2573
Au  0.0000  0.0000  0.5000

Output
**ΔE to the lowest computed polymorph**: 0.011 eV/atom
**DFT total energy**: -38.120 eV per atom
**Energy of formation from the pure elements**: 98 meV/atom

(17)
Here is a PBEsol-optimized structure of Cr4FeNiS8 from Alexandria via LeMat-Bulk. Energies are from SCAN.

a = 9.5787 Å, b = 9.5787 Å, c = 9.5787 Å
α = 90.00°, β = 90.00°, γ = 90.00°
Space group F-43m (No. 216)
Symmetry-distinct sites (fractional):
Cr  0.1191  0.1191  0.3809
Fe  0.0000  0.0000  0.0000
Ni  0.2500  0.2500  0.7500
S  0.1221  0.1221  0.6221
S  0.1318  0.1318  0.1318

Output
**Uncorrected formation energy**: -882 meV/atom
**DFT total energy**: -14.086 eV per atom

(18)
Here is a PBEsol-optimized structure of TcOs2W from Alexandria via LeMat-Bulk. Energies are from SCAN.

a = 3.8641 Å, b = 3.8641 Å, c = 3.8597 Å
α = 90.00°, β = 90.00°, γ = 90.00°
Space group P4/mmm (No. 123)
Symmetry-distinct sites (fractional):
Tc  0.0000  0.0000  0.0000
Os  0.0000  0.5000  0.5000
W  0.5000  0.5000  0.0000

Output
**ΔE to the lowest computed polymorph**: 0.000 eV/atom
**DFT total energy**: -62.120 eV per atom
**Energy of formation from the pure elements**: 7 meV/atom

(19)
Here is a PBEsol-optimized structure of KLaCr2 from Alexandria via LeMat-Bulk. Energies are from SCAN.

a = 3.3911 Å, b = 3.3911 Å, c = 32.4212 Å
α = 90.00°, β = 90.00°, γ = 120.00°
Space group R-3m (No. 166, hexagonal axes)
Symmetry-distinct sites (fractional):
K  0.0000  0.0000  0.0000
La  0.0000  0.0000  0.5000
Cr  0.0000  0.0000  0.2413

Output
**ΔE to the lowest computed polymorph**: 0.071 eV/atom
**DFT total energy**: -21.252 eV per atom
**Energy of formation from the pure elements**: 799 meV/atom

(20)
Here is a PBEsol-optimized structure of Ag3As from Alexandria via LeMat-Bulk. Energies are from SCAN.

a = 2.9009 Å, b = 4.0734 Å, c = 5.7626 Å
α = 90.00°, β = 90.00°, γ = 90.00°
Space group Pmmm (No. 47)
Symmetry-distinct sites (fractional):
Ag  0.0000  0.0000  0.0000
Ag  0.5000  0.5000  0.2485
As  0.0000  0.0000  0.5000

Output
**DFT total energy**: -28.478 eV per atom
**Energy of formation from the pure elements**: 95 meV/atom